Entry 1:
Na2Tl2Sn at its PBEsol-relaxed geometry, computed with meta-GGA SCAN.

Lattice parameters (Å, degrees): 4.7938 7.7383 7.7383 90.00 90.00 90.00
With the nearest neighbours (Å) after each atom.
Positions (direct):
Tl  0.0000  0.6369  0.1369  1 Tl 3.00, 2 Sn 3.00, 2 Na 3.20
Tl  0.0000  0.1369  0.3631  1 Tl 3.00, 2 Sn 3.00, 2 Na 3.20
Tl  0.0000  0.3631  0.8631  1 Tl 3.00, 2 Sn 3.00, 2 Na 3.20
Tl  0.0000  0.8631  0.6369  1 Tl 3.00, 2 Sn 3.00, 2 Na 3.20
Na  0.5000  0.8303  0.3303  6 Tl 3.20-3.38
Na  0.5000  0.6697  0.8303  6 Tl 3.20-3.38
Na  0.5000  0.1697  0.6697  6 Tl 3.20-3.38
Na  0.5000  0.3303  0.1697  6 Tl 3.20-3.38
Sn  0.0000  0.0000  0.0000  4 Tl 3.00
Sn  0.0000  0.5000  0.5000  4 Tl 3.00

Calculated values
Electronic total energy ... -37.959 eV per atom
Calculated formation energy ... -145 meV/atom
Magnetic moment ... 0.00 μB per formula unit
ρ ... 6.63 g/cm3
Symmetry ... No. 127

=====

Entry 2:
BaNiTe4 at its PBEsol-relaxed geometry, computed with meta-GGA SCAN.

Lattice parameters (Å, degrees): 6.3393 6.3393 6.3393 60.00 60.00 60.00
With the nearest neighbours (Å) after each atom.
Positions (direct):
Te  0.3736  0.3736  0.8793  6 Te 3.13-3.21
Te  0.8793  0.3736  0.3736  6 Te 3.13-3.21
Te  0.3736  0.8793  0.3736  6 Te 3.13-3.21
Te  0.3736  0.3736  0.3736  6 Te 3.13-3.21
Ba  0.7500  0.7500  0.7500  12 Te 3.72, 4 Ni 3.88
Ni  0.0000  0.0000  0.0000  12 Te 3.71, 4 Ba 3.88

Calculated values
Electronic total energy ... -34.016 eV per atom
Formation energy from raw total energies ... 105 meV/atom
Magnetic moment ... 1.83 μB per formula unit
ρ ... 6.51 g/cm3
Symmetry ... No. 216

=====

Entry 3:
Sc3Ta at its PBEsol-relaxed geometry, computed with meta-GGA SCAN.

Lattice parameters (Å, degrees): 3.1047 5.4967 5.8638 117.95 105.35 90.00
With the nearest neighbours (Å) after each atom.
Positions (direct):
Sc  0.5000  0.8316  0.0000  8 Sc 3.02-3.11, 4 Ta 3.14-3.17
Sc  0.7447  0.7477  0.4895  9 Sc 3.02-3.16, 3 Ta 3.03-3.09
Sc  0.2553  0.2582  0.5105  9 Sc 3.02-3.16, 3 Ta 3.03-3.09
Ta  0.0000  0.3291  0.0000  10 Sc 3.03-3.17, 2 Ta 3.10

Calculated values
Electronic total energy ... -27.158 eV per atom
Calculated formation energy ... 166 meV/atom
Magnetic moment ... 0.00 μB per formula unit
ρ ... 6.22 g/cm3
Symmetry ... No. 44
Relative energy among the computed polymorphs ... 0.078 eV/f.u.

=====

Entry 4:
NbAg2IrPt at its PBEsol-relaxed geometry, computed with meta-GGA SCAN.

Lattice parameters (Å, degrees): 4.6577 4.8928 4.8928 90.00 90.00 90.00
With the nearest neighbours (Å) after each atom.
Positions (direct):
Ir  0.0000  0.0000  0.0000  2 Pt 2.33, 4 Ag 2.45
Pt  0.5000  0.0000  0.0000  2 Ir 2.33
Ag  0.0000  0.5000  0.0000  2 Ir 2.45
Ag  0.0000  0.0000  0.5000  2 Ir 2.45
Nb  0.5000  0.5000  0.5000  8 Ag 3.38, 4 Pt 3.46

Calculated values
Electronic total energy ... -46.024 eV per atom
Calculated formation energy ... 1407 meV/atom
Magnetic moment ... 3.23 μB per formula unit
ρ ... 10.36 g/cm3
Symmetry ... No. 123

=====

Entry 5:
SrTl2Pb at its PBEsol-relaxed geometry, computed with meta-GGA SCAN.

Lattice parameters (Å, degrees): 3.9120 5.5953 6.5043 115.48 107.50 90.00
With the nearest neighbours (Å) after each atom.
Positions (direct):
Tl  0.2390  0.2390  0.4780  2 Pb 3.29, 4 Tl 3.42, 2 Sr 3.49
Tl  0.7610  0.7610  0.5220  2 Pb 3.29, 4 Tl 3.42, 2 Sr 3.49
Pb  0.5000  0.0000  0.0000  4 Tl 3.29, 4 Sr 3.41
Sr  0.0000  0.5000  0.0000  4 Pb 3.41, 4 Tl 3.49

Calculated values
Electronic total energy ... -61.039 eV per atom
Calculated formation energy ... -346 meV/atom
Magnetic moment ... 0.00 μB per formula unit
ρ ... 9.64 g/cm3
Symmetry ... No. 71

=====

Entry 6:
BeSiS3 at its PBEsol-relaxed geometry, computed with meta-GGA SCAN.

Lattice parameters (Å, degrees): 4.4291 4.4291 4.4291 90.00 90.00 90.00
With the nearest neighbours (Å) after each atom.
Positions (direct):
S  0.5000  0.0000  0.0000  2 Si 2.21
S  0.0000  0.0000  0.5000  2 Si 2.21
S  0.0000  0.5000  0.0000  2 Si 2.21
Si  0.0000  0.0000  0.0000  6 S 2.21
Be  0.5000  0.5000  0.5000  12 S 3.13

Calculated values
Electronic total energy ... -8.079 eV per atom
Formation energy from raw total energies ... 572 meV/atom
Magnetic moment ... 0.00 μB per formula unit
ρ ... 2.55 g/cm3
Symmetry ... No. 221

=====

Entry 7:
AlAg2W2 at its PBEsol-relaxed geometry, computed with meta-GGA SCAN.

Lattice parameters (Å, degrees): 3.5983 3.5983 7.2595 104.35 104.35 90.00
With the nearest neighbours (Å) after each atom.
Positions (direct):
Ag  0.7500  0.2500  0.5000  4 Ag 2.54
Ag  0.2500  0.7500  0.5000  4 Ag 2.54
Al  0.0000  0.0000  0.0000  8 W 2.80
W  0.5859  0.5859  0.1718  1 W 2.34
W  0.4141  0.4141  0.8282  1 W 2.34

Calculated values
Electronic total energy ... -41.019 eV per atom
Calculated formation energy ... 954 meV/atom
Magnetic moment ... 0.00 μB per formula unit
ρ ... 11.51 g/cm3
Symmetry ... No. 139

=====

Entry 8:
YCoSe at its PBEsol-relaxed geometry, computed with meta-GGA SCAN.

Lattice parameters (Å, degrees): 3.7466 3.9859 3.9859 120.00 90.00 90.00
With the nearest neighbours (Å) after each atom.
Positions (direct):
Y  0.3330  0.3333  0.6667  6 Co 2.96-2.97, 6 Se 2.97
Se  0.8325  0.6667  0.3333  3 Co 2.30
Co  0.8345  0.0000  0.0000  3 Se 2.30

Calculated values
Electronic total energy ... -22.677 eV per atom
Formation energy from raw total energies ... -935 meV/atom
Magnetic moment ... 0.00 μB per formula unit
ρ ... 7.31 g/cm3
Symmetry ... No. 156

=====

Entry 9:
RbPt3I at its PBEsol-relaxed geometry, computed with meta-GGA SCAN.

Lattice parameters (Å, degrees): 5.0437 5.0437 5.0437 90.00 90.00 90.00
With the nearest neighbours (Å) after each atom.
Positions (direct):
Pt  0.5000  0.0000  0.0000  2 Rb 2.52
Pt  0.0000  0.5000  0.0000  2 Rb 2.52
Pt  0.0000  0.0000  0.5000  2 Rb 2.52
I  0.5000  0.5000  0.5000  12 Pt 3.57
Rb  0.0000  0.0000  0.0000  6 Pt 2.52

Calculated values
Electronic total energy ... -51.246 eV per atom
Formation energy from raw total energies ... 2366 meV/atom
Magnetic moment ... 0.00 μB per formula unit
ρ ... 10.32 g/cm3
Symmetry ... No. 221
Relative energy among the computed polymorphs ... 8.684 eV/f.u.

=====

Entry 10:
BaAlTc at its PBEsol-relaxed geometry, computed with meta-GGA SCAN.

Lattice parameters (Å, degrees): 4.7725 4.7725 4.7725 60.00 60.00 60.00
With the nearest neighbours (Å) after each atom.
Positions (direct):
Tc  0.5000  0.5000  0.5000  4 Al 2.92
Al  0.7500  0.7500  0.7500  4 Ba 2.92, 4 Tc 2.92
Ba  0.0000  0.0000  0.0000  4 Al 2.92

Calculated values
Electronic total energy ... -26.375 eV per atom
Calculated formation energy ... 1079 meV/atom
Magnetic moment ... 1.64 μB per formula unit
ρ ... 5.67 g/cm3
Symmetry ... No. 216

=====

Entry 11:
La2YZn at its PBEsol-relaxed geometry, computed with meta-GGA SCAN.

Lattice parameters (Å, degrees): 3.7153 5.4556 6.5438 114.64 106.49 90.00
With the nearest neighbours (Å) after each atom.
Positions (direct):
La  0.7536  0.2536  0.5072  4 Zn 3.30, 2 La 3.63, 2 Y 3.65
La  0.9655  0.9655  0.9310  2 Zn 3.14, 4 Y 3.40
Y  0.5394  0.5394  0.0789  2 Zn 2.94
Zn  0.2415  0.7415  0.4830  2 Y 2.94, 2 La 3.14

Calculated values
Electronic total energy ... -32.072 eV per atom
Calculated formation energy ... -180 meV/atom
Magnetic moment ... 0.00 μB per formula unit
ρ ... 6.27 g/cm3
Symmetry ... No. 44
Relative energy among the computed polymorphs ... 0.053 eV/f.u.

=====

Entry 12:
MnCr2Re at its PBEsol-relaxed geometry, computed with meta-GGA SCAN.

Lattice parameters (Å, degrees): 3.6405 3.6405 4.4485 114.15 114.15 90.00
With the nearest neighbours (Å) after each atom.
Positions (direct):
Cr  0.7500  0.2500  0.5000  4 Cr 2.57, 4 Mn 2.57, 4 Re 2.57
Cr  0.0000  0.0000  0.0000  4 Cr 2.57, 4 Re 2.57, 4 Mn 2.57
Re  0.2500  0.7500  0.5000  4 Mn 2.57, 8 Cr 2.57
Mn  0.5000  0.5000  0.0000  4 Re 2.57, 8 Cr 2.57

Calculated values
Electronic total energy ... -31.344 eV per atom
Calculated formation energy ... 187 meV/atom
Magnetic moment ... 0.79 μB per formula unit
ρ ... 11.92 g/cm3
Symmetry ... No. 119

=====

Entry 13:
SrLaFeSnO6 at its PBEsol-relaxed geometry, computed with meta-GGA SCAN.

Lattice parameters (Å, degrees): 5.6160 5.6826 7.9584 90.00 89.77 90.00
With the nearest neighbours (Å) after each atom.
Positions (direct):
La  0.5115  0.2944  0.2505  6 O 2.40-2.62
La  0.0115  0.7056  0.7505  6 O 2.40-2.62
O  0.9306  0.2736  0.7540  1 Fe 2.00, 1 Sn 2.07
O  0.2091  0.9523  0.5443  1 Fe 2.03, 1 Sn 2.07
O  0.5890  0.7666  0.7466  1 Fe 2.03, 1 Sn 2.07
O  0.7837  0.5286  0.0405  1 Fe 2.04, 1 Sn 2.07
O  0.2837  0.4714  0.5405  1 Fe 2.04, 1 Sn 2.07
O  0.0890  0.2334  0.2466  1 Fe 2.03, 1 Sn 2.07
O  0.7091  0.0477  0.0443  1 Fe 2.03, 1 Sn 2.07
O  0.2774  0.4677  0.9604  1 Fe 2.02, 1 Sn 2.08
O  0.2033  0.9602  0.9548  1 Fe 2.02, 1 Sn 2.07
O  0.4306  0.7264  0.2540  1 Fe 2.00, 1 Sn 2.07
O  0.7774  0.5323  0.4604  1 Fe 2.02, 1 Sn 2.08
O  0.7033  0.0398  0.4548  1 Fe 2.02, 1 Sn 2.07
Sn  0.5008  0.7544  0.9997  6 O 2.07-2.08
Sn  0.0008  0.2456  0.4997  6 O 2.07-2.08
Sr  0.9935  0.7822  0.2497  6 O 2.48-2.74
Sr  0.4935  0.2178  0.7497  6 O 2.48-2.74
Fe  0.5012  0.7524  0.4993  6 O 2.00-2.04
Fe  0.0012  0.2476  0.9993  6 O 2.00-2.04

Calculated values
Electronic total energy ... -18.295 eV per atom
Formation energy from raw total energies ... -2613 meV/atom
Magnetic moment ... 5.00 μB per formula unit
ρ ... 6.50 g/cm3
Symmetry ... No. 7

=====

Entry 14:
Ba2ReMoH at its PBEsol-relaxed geometry, computed with meta-GGA SCAN.

Lattice parameters (Å, degrees): 4.5923 6.1844 6.1844 90.00 90.00 90.00
With the nearest neighbours (Å) after each atom.
Positions (direct):
Ba  0.0000  0.5000  0.0000  2 Re 3.09
Ba  0.0000  0.0000  0.5000  2 Re 3.09
H  0.5000  0.5000  0.5000  8 Ba 3.85
Mo  0.5000  0.0000  0.0000  2 Re 2.30
Re  0.0000  0.0000  0.0000  2 Mo 2.30

Calculated values
Electronic total energy ... -36.638 eV per atom
Magnetic moment ... 2.07 μB per formula unit
ρ ... 5.27 g/cm3
Symmetry ... No. 123

=====

Entry 15:
Cr2W at its PBEsol-relaxed geometry, computed with meta-GGA SCAN.

Lattice parameters (Å, degrees): 2.9502 4.8820 5.9014 108.00 90.00 107.59
With the nearest neighbours (Å) after each atom.
Positions (direct):
Cr  0.1619  0.3238  0.5764  6 Cr 2.46-2.58, 2 W 2.56
Cr  0.8381  0.6762  0.4236  6 Cr 2.46-2.58, 2 W 2.56
Cr  0.5013  0.0026  0.2636  4 Cr 2.46-2.51, 4 W 2.55-2.62
Cr  0.4987  0.9974  0.7364  4 Cr 2.46-2.51, 4 W 2.55-2.62
W  0.1647  0.3294  0.0919  6 Cr 2.55-2.62, 2 W 2.64
W  0.8353  0.6706  0.9081  6 Cr 2.55-2.62, 2 W 2.64

Calculated values
Electronic total energy ... -35.407 eV per atom
Calculated formation energy ... 79 meV/atom
Magnetic moment ... 0.00 μB per formula unit
ρ ... 12.47 g/cm3
Symmetry ... No. 12
Relative energy among the computed polymorphs ... 0.071 eV/f.u.

=====

Entry 16:
CaMn2Rh at its PBEsol-relaxed geometry, computed with meta-GGA SCAN.

Lattice parameters (Å, degrees): 3.2126 4.5472 5.3972 114.91 107.31 90.00
With the nearest neighbours (Å) after each atom.
Positions (direct):
Mn  0.7778  0.2778  0.5555  2 Rh 2.48
Mn  0.0107  0.0107  0.0214  4 Rh 2.80, 4 Mn 2.95-3.13, 4 Ca 3.05
Rh  0.4817  0.4817  0.9634  2 Mn 2.48
Ca  0.2299  0.7299  0.4597  2 Rh 2.80, 8 Mn 2.82-3.05

Calculated values
Electronic total energy ... -20.002 eV per atom
Calculated formation energy ... -16 meV/atom
Magnetic moment ... 8.37 μB per formula unit
ρ ... 6.22 g/cm3
Symmetry ... No. 44

=====

Entry 17:
HfCoRh2Br at its PBEsol-relaxed geometry, computed with meta-GGA SCAN.

Lattice parameters (Å, degrees): 4.1525 4.5526 4.5526 90.00 90.00 90.00
With the nearest neighbours (Å) after each atom.
Positions (direct):
Hf  0.5000  0.5000  0.5000  8 Rh 3.08, 4 Co 3.22
Rh  0.0000  0.5000  0.0000  2 Br 2.28
Rh  0.0000  0.0000  0.5000  2 Br 2.28
Co  0.5000  0.0000  0.0000  2 Br 2.08
Br  0.0000  0.0000  0.0000  2 Co 2.08, 4 Rh 2.28

Calculated values
Electronic total energy ... -32.600 eV per atom
Formation energy from raw total energies ... 796 meV/atom
Magnetic moment ... 1.06 μB per formula unit
ρ ... 10.09 g/cm3
Symmetry ... No. 123

=====

Entry 18:
RbCoMoBr2 at its PBEsol-relaxed geometry, computed with meta-GGA SCAN.

Lattice parameters (Å, degrees): 4.5354 5.1935 5.1935 90.00 90.00 90.00
With the nearest neighbours (Å) after each atom.
Positions (direct):
Mo  0.5000  0.0000  0.0000  2 Co 2.27
Rb  0.5000  0.5000  0.5000  8 Br 3.45, 4 Mo 3.67
Co  0.0000  0.0000  0.0000  2 Mo 2.27
Br  0.0000  0.0000  0.5000  2 Co 2.60
Br  0.0000  0.5000  0.0000  2 Co 2.60

Calculated values
Electronic total energy ... -22.094 eV per atom
Formation energy from raw total energies ... 275 meV/atom
Magnetic moment ... 2.96 μB per formula unit
ρ ... 5.43 g/cm3
Symmetry ... No. 123

=====

Entry 19:
AsP2Rh at its PBEsol-relaxed geometry, computed with meta-GGA SCAN.

Lattice parameters (Å, degrees): 4.2704 4.2704 4.2704 109.68 109.68 109.05
With the nearest neighbours (Å) after each atom.
Positions (direct):
P  0.5000  0.0000  0.5000  2 Rh 2.46, 2 As 2.46, 2 P 2.48
P  0.0000  0.5000  0.5000  2 As 2.46, 2 Rh 2.46, 2 P 2.48
Rh  0.5000  0.5000  0.0000  4 P 2.46, 2 As 2.48
As  0.0000  0.0000  0.0000  4 P 2.46, 2 Rh 2.48

Calculated values
Electronic total energy ... -18.761 eV per atom
Calculated formation energy ... -71 meV/atom
Magnetic moment ... 0.00 μB per formula unit
ρ ... 6.64 g/cm3
Symmetry ... No. 139

=====

Entry 20:
FeCoNi2 at its PBEsol-relaxed geometry, computed with meta-GGA SCAN.

Lattice parameters (Å, degrees): 2.4447 4.2438 4.3124 99.12 90.01 106.76
With the nearest neighbours (Å) after each atom.
Positions (direct):
Ni  0.2490  0.4980  0.7446  3 Co 2.43, 5 Ni 2.44-2.48, 4 Fe 2.48
Ni  0.0002  0.0006  0.0014  3 Fe 2.44-2.45, 5 Ni 2.44-2.48, 4 Co 2.45-2.51
Co  0.5007  0.0015  0.5089  7 Ni 2.43-2.51, 2 Co 2.44, 3 Fe 2.48
Fe  0.7500  0.5001  0.2451  7 Ni 2.44-2.48, 2 Fe 2.44, 3 Co 2.48

Calculated values
Electronic total energy ... -17.008 eV per atom
Calculated formation energy ... -63 meV/atom
Magnetic moment ... 6.04 μB per formula unit
ρ ... 9.12 g/cm3
Symmetry ... No. 8